Entry 1:
Ti2Be2Ru, relaxed, DFT PBE-GGA; energy of formation from the pure elements = -353.9 meV/atom; spin magnetization = 0.000 μB/atom
1.0
6.243 0.000 0.000
0.000 6.243 0.000
0.000 0.000 3.219
Ru Be Ti
2 4 4
direct
0.000 0.000 0.000
0.500 0.500 0.000
0.381 0.881 0.000
0.881 0.619 0.000
0.619 0.119 0.000
0.119 0.381 0.000
0.180 0.680 0.500
0.680 0.820 0.500
0.820 0.320 0.500
0.320 0.180 0.500

Entry 2:
TiBe3Ru, relaxed, DFT PBE-GGA; energy of formation from the pure elements = 331.8 meV/atom; ΔE to the lowest computed polymorph = 0.000 eV per atom; spin magnetization = 0.000 μB/atom
1.0
-2.138 -2.801 -2.039
2.171 -2.951 1.777
-2.700 -0.154 3.043
Ru Be Ti
1 3 1
direct
0.000 0.000 0.000
0.000 0.500 0.000
0.000 0.000 0.500
0.500 0.000 0.000
0.500 0.500 0.500

Entry 3:
TiBeRu3, relaxed, DFT PBE-GGA; energy of formation from the pure elements = 99.3 meV/atom; ΔE to the lowest computed polymorph = 0.000 eV per atom; spin magnetization = 0.000 μB/atom
1.0
4.101 0.000 0.000
0.000 4.101 0.000
0.000 0.000 4.101
Ru Be Ti
3 1 1
direct
0.000 0.500 0.000
0.000 0.000 0.500
0.500 0.000 0.000
0.000 0.000 0.000
0.500 0.500 0.500

Entry 4:
TiBeRu3, relaxed, DFT PBE-GGA; energy of formation from the pure elements = 1398.1 meV/atom; ΔE to the lowest computed polymorph = 1.299 eV per atom; spin magnetization = 0.110 μB/atom
1.0
4.470 0.000 0.000
0.000 4.470 0.000
0.000 0.000 4.470
Ru Be Ti
3 1 1
direct
0.000 0.500 0.000
0.000 0.000 0.500
0.500 0.000 0.000
0.500 0.500 0.500
0.000 0.000 0.000

Entry 5:
TiBe8Ru3, relaxed, DFT PBE-GGA; energy of formation from the pure elements = -443.8 meV/atom; spin magnetization = 0.000 μB/atom
1.0
-1.161 1.837 -3.779
-0.077 -4.338 0.429
-6.772 0.343 2.248
Ti Be Ru
1 8 3
direct
0.000 0.000 0.566
0.333 0.667 0.497
0.333 0.667 0.999
0.503 0.007 0.757
0.503 0.497 0.757
0.993 0.497 0.757
0.166 0.332 0.244
0.166 0.834 0.244
0.668 0.834 0.244
0.667 0.333 0.444
0.667 0.333 0.064
0.000 0.000 0.928

Entry 6:
TiBe2V2Ru5, relaxed, DFT PBE-GGA; energy of formation from the pure elements = -265.7 meV/atom; spin magnetization = 0.000 μB/atom
1.0
3.065 0.000 0.000
0.000 9.183 0.000
0.000 0.000 9.183
Ti Be V Ru
2 4 4 10
direct
0.000 0.000 0.000
0.000 0.500 0.500
0.000 0.124 0.624
0.000 0.876 0.376
0.000 0.624 0.876
0.000 0.376 0.124
0.000 0.673 0.173
0.000 0.327 0.827
0.000 0.173 0.327
0.000 0.827 0.673
0.500 0.205 0.080
0.500 0.795 0.920
0.500 0.080 0.795
0.500 0.705 0.420
0.500 0.920 0.205
0.500 0.295 0.580
0.500 0.580 0.705
0.500 0.420 0.295
0.500 0.500 0.000
0.500 0.000 0.500

Entry 7:
Ti2Be2Ru5W, relaxed, DFT PBE-GGA; energy of formation from the pure elements = -368.2 meV/atom; spin magnetization = 0.000 μB/atom
1.0
3.114 0.000 0.000
0.000 9.330 0.000
0.000 0.000 9.330
Ti Be Ru W
4 4 10 2
direct
0.000 0.672 0.172
0.000 0.328 0.828
0.000 0.172 0.328
0.000 0.828 0.672
0.000 0.121 0.621
0.000 0.879 0.379
0.000 0.621 0.879
0.000 0.379 0.121
0.500 0.208 0.074
0.500 0.792 0.926
0.500 0.074 0.792
0.500 0.708 0.426
0.500 0.926 0.208
0.500 0.292 0.574
0.500 0.574 0.708
0.500 0.426 0.292
0.500 0.500 0.000
0.500 0.000 0.500
0.000 0.000 0.000
0.000 0.500 0.500

Entry 8:
BeTl2Ru, relaxed, DFT PBE-GGA; energy of formation from the pure elements = 245.2 meV/atom; ΔE to the lowest computed polymorph = 0.000 eV per atom; spin magnetization = 0.000 μB/atom
1.0
-2.682 1.476 -0.928
-1.595 -2.764 0.214
-1.655 1.513 7.186
Ru Tl Be
1 2 1
direct
0.500 0.500 0.673
0.000 0.000 0.940
0.500 0.500 0.296
0.000 0.000 0.591